No. 1
Computed, not measured: a relaxed structure of KTl2Hg2 at the PBEsol level of DFT. Values from VASP.

Output
- relative energy among the computed polymorphs (eV per formula unit) = 0.03
- density of states at the Fermi level (states/eV/f.u.) = 2.09
- ρ (g/cm³) = 8.9
- raw total energy (eV per atom) = -1.610
- formation energy (eV per atom) = -0.104

```
&SYSTEM
  ibrav = 0, nat = 5, ntyp = 3
/
ATOMIC_SPECIES
K 39.10 K.upf
Tl 204.38 Tl.upf
Hg 200.59 Hg.upf
CELL_PARAMETERS angstrom
-2.738 2.738 5.295
2.738 -2.738 5.295
2.738 2.738 -5.295
ATOMIC_POSITIONS crystal
K 0.000 0.000 0.000
Tl 0.360 0.360 0.000
Tl 0.640 0.640 0.000
Hg 0.250 0.750 0.500
Hg 0.750 0.250 0.500
```

***

No. 2
Computed, not measured: a relaxed structure of KTl2Hg at the PBEsol level of DFT. Values from VASP.

Output
- relative energy among the computed polymorphs (eV per formula unit) = 0.06
- density of states at the Fermi level (states/eV/f.u.) = 1.65
- ρ (g/cm³) = 9.3
- raw total energy (eV per atom) = -1.836
- formation energy (eV per atom) = -0.096

```
&SYSTEM
  ibrav = 0, nat = 4, ntyp = 3
/
ATOMIC_SPECIES
K 39.10 K.upf
Tl 204.38 Tl.upf
Hg 200.59 Hg.upf
CELL_PARAMETERS angstrom
3.425 0.000 0.000
0.000 4.999 0.000
-1.570 0.000 6.797
ATOMIC_POSITIONS crystal
K 0.000 0.000 0.000
Tl 0.339 0.500 0.718
Tl 0.661 0.500 0.282
Hg 0.500 0.000 0.500
```

***

No. 3
Computed, not measured: a relaxed structure of KTlHg2 at the PBEsol level of DFT. Values from VASP.

Output
- relative energy among the computed polymorphs (eV per formula unit) = 0.00
- density of states at the Fermi level (states/eV/f.u.) = 1.91
- ρ (g/cm³) = 9.7
- raw total energy (eV per atom) = -1.376
- formation energy (eV per atom) = -0.152

```
&SYSTEM
  ibrav = 0, nat = 4, ntyp = 3
/
ATOMIC_SPECIES
K 39.10 K.upf
Tl 204.38 Tl.upf
Hg 200.59 Hg.upf
CELL_PARAMETERS angstrom
-2.684 2.684 3.811
2.684 -2.684 3.811
2.684 2.684 -3.811
ATOMIC_POSITIONS crystal
K 0.000 0.000 0.000
Tl 0.500 0.500 0.000
Hg 0.250 0.750 0.500
Hg 0.750 0.250 0.500
```